Compound: LiBi3P
Source: Alexandria via LeMat-Bulk
Functional: PBE-GGA
Structure: relaxed

Computed properties:
Size of the total moment   0.00 μB per cell
Relative energy among the computed polymorphs   0 meV per atom
Density   6.7 g/cm3
Density of states at the Fermi level   4.77 states/eV/f.u.
DFT formation energy   0.359 eV per atom

Cell: 5.4826 5.4826 5.4826 Å, 90.00 90.00 90.00°
Space group Pm-3m (No. 221)
Symmetry-distinct sites (fractional):
Li  0.0000  0.0000  0.0000 [1 per cell]
Bi  0.0000  0.5000  0.5000 [3 per cell]
P  0.5000  0.5000  0.5000 [1 per cell]

Compound: Li2BiP2
Source: Alexandria via LeMat-Bulk
Functional: PBE-GGA
Structure: relaxed

Computed properties:
Size of the total moment   0.00 μB per cell
Relative energy among the computed polymorphs   0 meV per atom
Density   4.9 g/cm3
Density of states at the Fermi level   1.55 states/eV/f.u.
DFT formation energy   -0.253 eV per atom

Cell: 3.3704 3.3704 17.1502 Å, 90.00 90.00 90.00°
Space group I4/mmm (No. 139)
Symmetry-distinct sites (fractional):
Li  0.0000  0.0000  0.1277 [4 per cell]
Bi  0.0000  0.0000  0.5000 [2 per cell]
P  0.0000  0.5000  0.2500 [4 per cell]

Compound: LiBi2P2
Source: Alexandria via LeMat-Bulk
Functional: PBE-GGA
Structure: relaxed

Computed properties:
Size of the total moment   0.00 μB per cell
Relative energy among the computed polymorphs   104 meV per atom
Density   5.7 g/cm3
Density of states at the Fermi level   1.18 states/eV/f.u.
DFT formation energy   0.173 eV per atom

Cell: 5.3768 5.3768 9.7949 Å, 90.00 90.00 90.00°
Space group I4/mmm (No. 139)
Symmetry-distinct sites (fractional):
Li  0.0000  0.0000  0.0000 [2 per cell]
Bi  0.0000  0.0000  0.3364 [4 per cell]
P  0.0000  0.5000  0.2500 [4 per cell]

Compound: Li6Bi2P
Source: Alexandria via LeMat-Bulk
Functional: PBE-GGA
Structure: relaxed

Computed properties:
Size of the total moment   0.01 μB per cell
Density   4.7 g/cm3
Density of states at the Fermi level   3.32 states/eV/f.u.
DFT formation energy   -0.503 eV per atom

Cell: 7.7107 7.7107 3.3563 Å, 90.00 90.00 120.00°
Space group P-62m (No. 189)
Symmetry-distinct sites (fractional):
Li  0.0000  0.2508  0.0000 [3 per cell]
Li  0.0000  0.6480  0.5000 [3 per cell]
Bi  0.3333  0.6667  0.0000 [2 per cell]
P  0.0000  0.0000  0.5000 [1 per cell]

Compound: Li2BiP2
Source: Alexandria via LeMat-Bulk
Functional: PBE-GGA
Structure: relaxed

Computed properties:
Size of the total moment   0.00 μB per cell
Relative energy among the computed polymorphs   29 meV per atom
Density   5.2 g/cm3
Density of states at the Fermi level   3.75 states/eV/f.u.
DFT formation energy   -0.225 eV per atom

Cell: 4.2532 4.2532 10.0960 Å, 90.00 90.00 90.00°
Space group I4/mmm (No. 139)
Symmetry-distinct sites (fractional):
Li  0.0000  0.5000  0.2500 [4 per cell]
Bi  0.0000  0.0000  0.0000 [2 per cell]
P  0.0000  0.0000  0.3917 [4 per cell]

Compound: LiBi2P3Pt12
Source: Alexandria via LeMat-Bulk
Functional: PBE-GGA
Structure: relaxed

Computed properties:
Size of the total moment   0.00 μB per cell
Density   14.1 g/cm3
Density of states at the Fermi level   4.43 states/eV/f.u.
DFT formation energy   -0.233 eV per atom

Cell: 8.0921 8.0921 17.8054 Å, 90.00 90.00 120.00°
Space group R-3m (No. 166, hexagonal axes)
Symmetry-distinct sites (fractional):
Li  0.0000  0.0000  0.0000 [3 per cell]
Bi  0.0000  0.0000  0.3833 [6 per cell]
P  0.0000  0.5000  0.5000 [9 per cell]
Pt  0.0031  0.5015  0.3718 [18 per cell]
Pt  0.0182  0.5091  0.8691 [18 per cell]

Compound: LiBi2P2Pt7
Source: Alexandria via LeMat-Bulk
Functional: PBE-GGA
Structure: relaxed

Computed properties:
Size of the total moment   0.00 μB per cell
Density   13.4 g/cm3
Density of states at the Fermi level   4.28 states/eV/f.u.
DFT formation energy   -0.448 eV per atom

Cell: 5.6118 5.6095 14.8029 Å, 90.00 100.86 90.00°
Space group C2/m (No. 12)
Symmetry-distinct sites (fractional):
Li  0.0000  0.0000  0.0000 [2 per cell]
Bi  0.2093  0.0000  0.4189 [4 per cell]
P  0.1113  0.5000  0.2248 [4 per cell]
Pt  0.0000  0.5000  0.0000 [2 per cell]
Pt  0.1817  0.2500  0.8615 [8 per cell]
Pt  0.1919  0.5000  0.3836 [4 per cell]

Compound: Li2BiPRu
Source: Alexandria via LeMat-Bulk
Functional: PBE-GGA
Structure: relaxed

Computed properties:
Size of the total moment   2.18 μB per cell
Density   5.5 g/cm3
Density of states at the Fermi level   6.91 states/eV/f.u.
DFT formation energy   0.524 eV per atom

Cell: 4.3504 4.3504 5.7111 Å, 90.00 90.00 90.00°
Space group P4/mmm (No. 123)
Symmetry-distinct sites (fractional):
Li  0.0000  0.5000  0.0000 [2 per cell]
Bi  0.0000  0.0000  0.5000 [1 per cell]
P  0.0000  0.0000  0.0000 [1 per cell]
Ru  0.5000  0.5000  0.5000 [1 per cell]

Compound: LiBiPS2
Source: Alexandria via LeMat-Bulk
Functional: PBE-GGA
Structure: relaxed

Computed properties:
Size of the total moment   2.02 μB per cell
Relative energy among the computed polymorphs   110 meV per atom
Formation energy without anion corrections   459 meV per atom
Density   3.4 g/cm3
Density of states at the Fermi level   3.56 states/eV/f.u.

Cell: 5.3303 5.3303 5.3745 Å, 90.00 90.00 90.00°
Space group P4/mmm (No. 123)
Symmetry-distinct sites (fractional):
Li  0.0000  0.0000  0.0000 [1 per cell]
Bi  0.5000  0.5000  0.5000 [1 per cell]
P  0.5000  0.5000  0.0000 [1 per cell]
S  0.0000  0.5000  0.5000 [2 per cell]

Compound: LiBiPS2
Source: Alexandria via LeMat-Bulk
Functional: PBE-GGA
Structure: relaxed

Computed properties:
Size of the total moment   0.00 μB per cell
Relative energy among the computed polymorphs   0 meV per atom
Formation energy without anion corrections   348 meV per atom
Density   5.4 g/cm3
Density of states at the Fermi level   3.87 states/eV/f.u.

Cell: 4.7145 4.7145 4.2820 Å, 90.00 90.00 90.00°
Space group P4/mmm (No. 123)
Symmetry-distinct sites (fractional):
Li  0.0000  0.0000  0.0000 [1 per cell]
Bi  0.5000  0.5000  0.5000 [1 per cell]
P  0.0000  0.0000  0.5000 [1 per cell]
S  0.0000  0.5000  0.0000 [2 per cell]

Compound: LiScBi2P
Source: Alexandria via LeMat-Bulk
Functional: PBE-GGA
Structure: relaxed

Computed properties:
Size of the total moment   0.00 μB per cell
Density   6.9 g/cm3
Density of states at the Fermi level   3.26 states/eV/f.u.
DFT formation energy   0.346 eV per atom

Cell: 4.8619 4.8619 5.1350 Å, 90.00 90.00 90.00°
Space group P4/mmm (No. 123)
Symmetry-distinct sites (fractional):
Li  0.0000  0.0000  0.0000 [1 per cell]
Sc  0.0000  0.0000  0.5000 [1 per cell]
Bi  0.0000  0.5000  0.0000 [2 per cell]
P  0.5000  0.5000  0.5000 [1 per cell]

Compound: LiBiP2W
Source: Alexandria via LeMat-Bulk
Functional: PBE-GGA
Structure: relaxed

Computed properties:
Size of the total moment   0.00 μB per cell
Density   6.2 g/cm3
Density of states at the Fermi level   3.67 states/eV/f.u.
DFT formation energy   0.335 eV per atom

Cell: 4.6318 4.6318 5.7845 Å, 90.00 90.00 90.00°
Space group P4/mmm (No. 123)
Symmetry-distinct sites (fractional):
Li  0.0000  0.0000  0.0000 [1 per cell]
Bi  0.5000  0.5000  0.0000 [1 per cell]
P  0.0000  0.5000  0.5000 [2 per cell]
W  0.5000  0.5000  0.5000 [1 per cell]